[1]
Ho3Pd2Pt2 after structural relaxation. Source: Alexandria via LeMat-Bulk, functional PBE.

Computed properties:
Total magnetization = 0.00 μB/f.u.
Formation energy = -0.99 eV per atom

a b c (Å): 4.4788 5.0169 7.2694
angles (deg): 103.14 90.09 116.51
With the nearest neighbours (Å) after each atom.
Fractional positions:
1 Ho 0.0000 0.0000 0.0000  6 Pt 2.86-3.13, 2 Pd 3.09
2 Ho 0.3951 0.7890 0.2873  5 Pd 2.81-3.11, 3 Pt 2.90-2.97
3 Ho 0.6049 0.2110 0.7127  5 Pd 2.81-3.11, 3 Pt 2.90-2.97
4 Pd 0.1346 0.2699 0.4362  3 Pd 2.81-3.03, 6 Ho 2.81-3.11, 1 Pt 3.10
5 Pd 0.8654 0.7301 0.5638  3 Pd 2.81-3.03, 6 Ho 2.81-3.11, 1 Pt 3.10
6 Pt 0.3037 0.6077 0.8650  7 Ho 2.86-3.18, 1 Pd 3.10
7 Pt 0.6963 0.3923 0.1350  7 Ho 2.86-3.18, 1 Pd 3.10


[2]
HoPd3Pt2 after structural relaxation. Source: Alexandria via LeMat-Bulk, functional PBE.

Computed properties:
Total magnetization = 0.00 μB/f.u.
Formation energy = -0.47 eV per atom
Energy relative to the lowest polymorph listed for this composition = 0.146 eV/atom

a b c (Å): 7.5876 7.5876 5.2770
angles (deg): 90.00 90.00 136.18
With the nearest neighbours (Å) after each atom.
Fractional positions:
1 Ho 0.1559 0.8441 0.7500  8 Pd 2.83-3.00, 4 Pt 2.95
2 Ho 0.8441 0.1559 0.2500  8 Pd 2.83-3.00, 4 Pt 2.95
3 Pd 0.0771 0.4187 0.7500  2 Pt 2.74, 5 Pd 2.79-3.01, 3 Ho 2.83-3.00
4 Pd 0.3420 0.6580 0.2500  6 Pd 2.79-3.01, 2 Ho 2.83, 4 Pt 2.93
5 Pd 0.4187 0.0771 0.2500  2 Pt 2.74, 5 Pd 2.79-3.01, 3 Ho 2.83-3.00
6 Pd 0.5813 0.9229 0.7500  2 Pt 2.74, 5 Pd 2.79-3.01, 3 Ho 2.83-3.00
7 Pd 0.6580 0.3420 0.7500  6 Pd 2.79-3.01, 2 Ho 2.83, 4 Pt 2.93
8 Pd 0.9229 0.5813 0.2500  2 Pt 2.74, 5 Pd 2.79-3.01, 3 Ho 2.83-3.00
9 Pt 0.2587 0.2587 0.0000  4 Pt 2.64-2.93, 4 Pd 2.74-2.93, 2 Ho 2.95
10 Pt 0.2587 0.2587 0.5000  4 Pt 2.64-2.93, 4 Pd 2.74-2.93, 2 Ho 2.95
11 Pt 0.7413 0.7413 0.0000  4 Pt 2.64-2.93, 4 Pd 2.74-2.93, 2 Ho 2.95
12 Pt 0.7413 0.7413 0.5000  4 Pt 2.64-2.93, 4 Pd 2.74-2.93, 2 Ho 2.95


[3]
Ho2Pd7Pt3 after structural relaxation. Source: Alexandria via LeMat-Bulk, functional PBE.

Computed properties:
Total magnetization = 0.00 μB/f.u.
Formation energy = -0.54 eV per atom

a b c (Å): 5.7488 4.0554 8.6895
angles (deg): 90.00 90.08 90.00
With the nearest neighbours (Å) after each atom.
Fractional positions:
1 Ho 0.9999 0.0000 0.1852  3 Pt 2.74-2.88, 8 Pd 2.84-2.99
2 Ho 0.0001 0.0000 0.8148  3 Pt 2.74-2.88, 8 Pd 2.84-2.99
3 Pd 0.2578 0.5000 0.3368  6 Pd 2.78-2.97, 2 Ho 2.84, 4 Pt 2.88-2.89
4 Pd 0.2581 0.5000 0.6637  6 Pd 2.78-2.97, 2 Ho 2.84, 4 Pt 2.87-2.89
5 Pd 0.2592 0.5000 0.0002  4 Pd 2.77-2.98, 4 Pt 2.84-2.85, 4 Ho 2.99
6 Pd 0.5000 0.0000 0.5000  8 Pd 2.84, 4 Pt 2.87-2.91
7 Pd 0.7408 0.5000 0.9998  4 Pd 2.77-2.98, 4 Pt 2.84-2.85, 4 Ho 2.99
8 Pd 0.7419 0.5000 0.3363  6 Pd 2.78-2.97, 2 Ho 2.84, 4 Pt 2.87-2.89
9 Pd 0.7422 0.5000 0.6632  6 Pd 2.78-2.97, 2 Ho 2.84, 4 Pt 2.88-2.89
10 Pt 0.0000 0.0000 0.5000  2 Ho 2.74, 10 Pd 2.87-2.89
11 Pt 0.4999 0.0000 0.1655  9 Pd 2.84-2.91, 1 Pt 2.88, 2 Ho 2.88
12 Pt 0.5001 0.0000 0.8345  9 Pd 2.84-2.91, 1 Pt 2.88, 2 Ho 2.88


[4]
HoPd3Pt2 after structural relaxation. Source: Alexandria via LeMat-Bulk, functional PBE.

Computed properties:
Total magnetization = 0.00 μB/f.u.
Formation energy = -0.61 eV per atom
Energy relative to the lowest polymorph listed for this composition = 0.000 eV/atom

a b c (Å): 7.8372 7.8372 7.8372
angles (deg): 42.72 42.72 42.72
With the nearest neighbours (Å) after each atom.
Fractional positions:
1 Ho 0.2195 0.2195 0.2195  9 Pd 2.86-2.88, 3 Pt 2.94
2 Ho 0.7805 0.7805 0.7805  9 Pd 2.86-2.88, 3 Pt 2.94
3 Pd 0.2290 0.7211 0.7211  6 Pd 2.81-2.93, 3 Pt 2.85-2.87, 3 Ho 2.86-2.88
4 Pd 0.2789 0.2789 0.7710  6 Pd 2.81-2.93, 3 Pt 2.85-2.87, 3 Ho 2.86-2.88
5 Pd 0.2789 0.7710 0.2789  6 Pd 2.81-2.93, 3 Pt 2.85-2.87, 3 Ho 2.86-2.88
6 Pd 0.7211 0.2290 0.7211  6 Pd 2.81-2.93, 3 Pt 2.85-2.87, 3 Ho 2.86-2.88
7 Pd 0.7211 0.7211 0.2290  6 Pd 2.81-2.93, 3 Pt 2.85-2.87, 3 Ho 2.86-2.88
8 Pd 0.7710 0.2789 0.2789  6 Pd 2.81-2.93, 3 Pt 2.85-2.87, 3 Ho 2.86-2.88
9 Pt 0.0000 0.0000 0.0000  6 Pt 2.85, 6 Pd 2.87
10 Pt 0.0000 0.5000 0.5000  4 Pd 2.85, 6 Pt 2.85, 2 Ho 2.94
11 Pt 0.5000 0.0000 0.5000  4 Pd 2.85, 6 Pt 2.85, 2 Ho 2.94
12 Pt 0.5000 0.5000 0.0000  4 Pd 2.85, 6 Pt 2.85, 2 Ho 2.94


What did the first record say?
Ho3Pd2Pt2 after structural relaxation. Source: Alexandria via LeMat-Bulk, functional PBE.

Computed properties:
Total magnetization = 0.00 μB/f.u.
Formation energy = -0.99 eV per atom

a b c (Å): 4.4788 5.0169 7.2694
angles (deg): 103.14 90.09 116.51
With the nearest neighbours (Å) after each atom.
Fractional positions:
1 Ho 0.0000 0.0000 0.0000  6 Pt 2.86-3.13, 2 Pd 3.09
2 Ho 0.3951 0.7890 0.2873  5 Pd 2.81-3.11, 3 Pt 2.90-2.97
3 Ho 0.6049 0.2110 0.7127  5 Pd 2.81-3.11, 3 Pt 2.90-2.97
4 Pd 0.1346 0.2699 0.4362  3 Pd 2.81-3.03, 6 Ho 2.81-3.11, 1 Pt 3.10
5 Pd 0.8654 0.7301 0.5638  3 Pd 2.81-3.03, 6 Ho 2.81-3.11, 1 Pt 3.10
6 Pt 0.3037 0.6077 0.8650  7 Ho 2.86-3.18, 1 Pd 3.10
7 Pt 0.6963 0.3923 0.1350  7 Ho 2.86-3.18, 1 Pd 3.10


total magnetization of number 1 (Ho3Pd2Pt2)?
0.00 μB/f.u.


Among the records above, which one has the lowest formation energy?
Ho3Pd2Pt2